1.
Zn2H8Ru PBE relaxed; D(E_F) = 0.0000 states/eV per atom; calculated total energy = -37.139 eV/cell; SG = C2/m, No. 12; size of the total moment = 0.00 μB per cell
1.0
6.703 -1.459 0.000
6.703 1.459 0.000
-1.810 0.000 4.807
Zn H Ru
2 8 1
direct
0.159 0.159 0.352
0.841 0.841 0.648
0.059 0.059 0.895
0.231 0.231 0.688
0.401 0.401 0.130
0.434 0.434 0.646
0.566 0.566 0.354
0.599 0.599 0.870
0.769 0.769 0.312
0.941 0.941 0.105
0.500 0.500 0.000


2.
Zn3H2Ru PBE relaxed; D(E_F) = 0.2828 states/eV per atom; calculated total energy = -38.344 eV/cell; SG = P2_1/c, No. 14; size of the total moment = 0.00 μB per cell
1.0
4.782 0.000 0.000
0.000 5.231 0.000
-1.737 0.000 5.399
Zn H Ru
6 4 2
direct
0.000 0.000 0.000
0.000 0.500 0.500
0.407 0.229 0.342
0.407 0.271 0.842
0.593 0.729 0.158
0.593 0.771 0.658
0.234 0.724 0.947
0.234 0.776 0.447
0.766 0.224 0.553
0.766 0.276 0.053
0.000 0.000 0.500
0.000 0.500 0.000


3.
Zn3HRu PBE relaxed; D(E_F) = 0.6483 states/eV per atom; SG = Pm-3m, No. 221; size of the total moment = 1.37 μB per cell; energy above the most stable polymorph in this dataset = 816.8 meV/atom
1.0
4.837 0.000 0.000
0.000 4.837 0.000
0.000 0.000 4.837
Zn H Ru
3 1 1
direct
0.000 0.000 0.500
0.000 0.500 0.000
0.500 0.000 0.000
0.500 0.500 0.500
0.000 0.000 0.000


4.
Zn3H12Ru5 PBE relaxed; D(E_F) = 0.3439 states/eV per atom; calculated total energy = -344.417 eV/cell; SG = Ia-3d, No. 230; size of the total moment = 0.00 μB per cell
1.0
-5.387 5.387 5.387
5.387 -5.387 5.387
5.387 5.387 -5.387
Zn H Ru
12 48 20
direct
0.125 0.250 0.375
0.125 0.375 0.750
0.250 0.375 0.125
0.250 0.875 0.625
0.375 0.125 0.250
0.375 0.750 0.125
0.625 0.250 0.875
0.625 0.875 0.750
0.750 0.125 0.375
0.750 0.625 0.875
0.875 0.625 0.250
0.875 0.750 0.625
0.042 0.216 0.116
0.042 0.326 0.927
0.073 0.616 0.400
0.073 0.958 0.674
0.100 0.716 0.674
0.100 0.884 0.427
0.116 0.042 0.216
0.116 0.573 0.900
0.174 0.216 0.600
0.174 0.458 0.573
0.216 0.116 0.042
0.216 0.600 0.174
0.284 0.326 0.900
0.284 0.458 0.384
0.326 0.900 0.284
0.326 0.927 0.042
0.384 0.284 0.458
0.384 0.600 0.927
0.400 0.073 0.616
0.400 0.826 0.784
0.427 0.100 0.884
0.427 0.826 0.542
0.458 0.384 0.284
0.458 0.573 0.174
0.542 0.427 0.826
0.542 0.616 0.716
0.573 0.174 0.458
0.573 0.900 0.116
0.600 0.174 0.216
0.600 0.927 0.384
0.616 0.400 0.073
0.616 0.716 0.542
0.674 0.073 0.958
0.674 0.100 0.716
0.716 0.542 0.616
0.716 0.674 0.100
0.784 0.400 0.826
0.784 0.884 0.958
0.826 0.542 0.427
0.826 0.784 0.400
0.884 0.427 0.100
0.884 0.958 0.784
0.900 0.116 0.573
0.900 0.284 0.326
0.927 0.042 0.326
0.927 0.384 0.600
0.958 0.674 0.073
0.958 0.784 0.884
0.000 0.000 0.000
0.000 0.000 0.500
0.000 0.500 0.000
0.000 0.500 0.500
0.125 0.750 0.875
0.125 0.875 0.250
0.250 0.125 0.875
0.250 0.625 0.375
0.375 0.250 0.625
0.375 0.625 0.750
0.500 0.000 0.000
0.500 0.000 0.500
0.500 0.500 0.000
0.500 0.500 0.500
0.625 0.375 0.250
0.625 0.750 0.375
0.750 0.375 0.625
0.750 0.875 0.125
0.875 0.125 0.750
0.875 0.250 0.125


5.
Zr2ZnHRu PBE relaxed; D(E_F) = 0.6536 states/eV per atom; SG = P4/mmm, No. 123; size of the total moment = 0.00 μB per cell; energy above the most stable polymorph in this dataset = 0.0 meV/atom
1.0
4.614 0.000 0.000
0.000 4.614 0.000
0.000 0.000 3.560
Zr Zn H Ru
2 1 1 1
direct
0.000 0.500 0.000
0.500 0.000 0.000
0.000 0.000 0.500
0.500 0.500 0.000
0.500 0.500 0.500


6.
ZrZnHRu2 PBE relaxed; D(E_F) = 0.6812 states/eV per atom; SG = P4/mmm, No. 123; size of the total moment = 0.00 μB per cell; energy above the most stable polymorph in this dataset = 0.0 meV/atom
1.0
4.042 0.000 0.000
0.000 4.042 0.000
0.000 0.000 3.991
Zr Zn H Ru
1 1 1 2
direct
0.000 0.000 0.000
0.500 0.500 0.000
0.000 0.000 0.500
0.000 0.500 0.500
0.500 0.000 0.500


7.
Zr2ZnHRu PBE relaxed; D(E_F) = 0.6514 states/eV per atom; SG = P4/mmm, No. 123; size of the total moment = 0.00 μB per cell; energy above the most stable polymorph in this dataset = 80.5 meV/atom
1.0
4.415 0.000 0.000
0.000 4.415 0.000
0.000 0.000 3.789
Zr Zn H Ru
2 1 1 1
direct
0.000 0.500 0.000
0.500 0.000 0.000
0.000 0.000 0.500
0.000 0.000 0.000
0.500 0.500 0.500


8.
ZrZnHRu2 PBE relaxed; D(E_F) = 0.8667 states/eV per atom; SG = P4/mmm, No. 123; size of the total moment = 0.00 μB per cell; energy above the most stable polymorph in this dataset = 18.6 meV/atom
1.0
4.149 0.000 0.000
0.000 4.149 0.000
0.000 0.000 3.742
Zr Zn H Ru
1 1 1 2
direct
0.000 0.000 0.000
0.500 0.500 0.000
0.500 0.500 0.500
0.000 0.500 0.500
0.500 0.000 0.500